VASP calculation (GGA-PBE) on a geometry-optimized CsKAu3 structure.

Output
DOS(E_F): 5.5 states/eV/cell
electronic total energy: -2.028 eV/atom
crystal system: cubic

abc: 6.0857 6.0857 6.0857
angles: 90.00 90.00 90.00
Space group Pm-3m (No. 221)
Symmetry-distinct sites (fractional):
1 Cs 0.0000 0.0000 0.0000 x1
2 K 0.5000 0.5000 0.5000 x1
3 Au 0.0000 0.5000 0.5000 x3

---

VASP calculation (GGA-PBE) on a geometry-optimized LiAcTh2Se4 structure.

Output
DOS(E_F): 4.5 states/eV/cell
formation energy from raw total energies: -1.569 eV per atom
electronic total energy: -5.919 eV/atom
crystal system: monoclinic

abc: 7.1939 4.1701 7.5844
angles: 90.00 108.13 90.00
Space group P2/m (No. 10)
Symmetry-distinct sites (fractional):
1 Li 0.0000 0.0000 0.0000 x1
2 Ac 0.5000 0.5000 0.0000 x1
3 Th 0.0000 0.5000 0.5000 x1
4 Th 0.5000 0.0000 0.5000 x1
5 Se 0.2308 0.0000 0.7489 x2
6 Se 0.2348 0.5000 0.2461 x2